Entry 1:
Compound: CrCo2Re
Source: Alexandria
Functional: GGA-PBE
Structure: optimized geometry

Results
Excess energy over the best structure of this formula in the dataset   5.2 kJ/mol of atoms
Space group   Cmmm

a = 4.4587 Å, b = 4.4587 Å, c = 2.5522 Å
α = 90.00°, β = 90.00°, γ = 110.73°
Positions (direct):
1 Co 0.0000 0.0000 0.0000
2 Co 0.5000 0.5000 0.0000
3 Re 0.0000 0.5000 0.5000
4 Cr 0.5000 0.0000 0.5000


Entry 2:
Compound: CrCoRe
Source: Alexandria
Functional: GGA-PBE
Structure: optimized geometry

Results
Excess energy over the best structure of this formula in the dataset   6.7 kJ/mol of atoms
Space group   Imm2

a = 4.5319 Å, b = 4.5319 Å, c = 4.5319 Å
α = 147.27°, β = 131.28°, γ = 59.94°
Positions (direct):
1 Re 0.6653 0.6653 0.0000
2 Co 0.9968 0.9968 0.0000
3 Cr 0.3380 0.3380 0.0000


Entry 3:
Compound: CrCo2Re
Source: Alexandria
Functional: GGA-PBE
Structure: optimized geometry

Results
Excess energy over the best structure of this formula in the dataset   8.1 kJ/mol of atoms
Space group   P4/mmm

a = 2.5573 Å, b = 2.5573 Å, c = 7.2475 Å
α = 90.00°, β = 90.00°, γ = 90.01°
Positions (direct):
1 Cr 0.5000 0.5000 0.2500
2 Co 0.0000 0.0000 0.4872
3 Re 0.5000 0.5000 0.7500
4 Co 0.0000 0.0000 0.0128


Entry 4:
Compound: CrCo2Re
Source: Alexandria
Functional: GGA-PBE
Structure: optimized geometry

Results
Excess energy over the best structure of this formula in the dataset   15.1 kJ/mol of atoms
Space group   P4mm

a = 3.0010 Å, b = 3.0010 Å, c = 5.3602 Å
α = 90.00°, β = 90.00°, γ = 90.00°
Positions (direct):
1 Co 0.5000 0.5000 0.2438
2 Re 0.5000 0.5000 0.7488
3 Co 0.0000 0.0000 0.0230
4 Cr 0.0000 0.0000 0.4845


Number 1: formation energy 0.04 eV/atom. Number 2: formation energy 0.13 eV/atom. Number 3: formation energy 0.07 eV/atom. Number 4: formation energy 0.14 eV/atom.